(1)
Computed, not measured: BaZn2P at its PBEsol-relaxed geometry at the meta-GGA SCAN level of DFT.

Cell: 3.1085 5.3486 6.3498 Å, 114.54 103.57 91.38°
With the nearest neighbours (Å) after each atom.
Element x y z (fractional)
Ba1 0.5000 0.0000 0.0000  4 P 3.06-3.13, 2 Ba 3.11, 4 Zn 3.19
P1 0.0000 0.5000 0.0000  4 Ba 3.06-3.13, 2 P 3.11, 4 Zn 3.19
Zn1 0.0000 0.0000 0.5000  6 Zn 3.06-3.13, 2 Ba 3.19, 2 P 3.19
Zn2 0.5000 0.5000 0.5000  6 Zn 3.06-3.13, 2 P 3.19, 2 Ba 3.19

---

(2)
Computed, not measured: Ba2ZnP at its PBEsol-relaxed geometry at the meta-GGA SCAN level of DFT.

Cell: 4.2880 4.7029 6.4483 Å, 111.39 90.00 90.00°
With the nearest neighbours (Å) after each atom.
Element x y z (fractional)
Ba1 0.0000 0.0143 0.0285  4 P 3.31, 3 Zn 3.35-3.61
Ba2 0.5000 0.7318 0.4635  4 Zn 3.34, 3 P 3.42-3.52
P1 0.5000 0.4387 0.8774  2 Zn 2.61
Zn1 0.0000 0.3153 0.6305  2 P 2.61

Output
offset from the most stable computed form: 0.000 eV per atom

---

(3)
Computed, not measured: BaZnP at its PBEsol-relaxed geometry at the meta-GGA SCAN level of DFT.

Cell: 4.9857 4.9857 4.9857 Å, 60.00 60.00 60.00°
With the nearest neighbours (Å) after each atom.
Element x y z (fractional)
Ba1 0.5000 0.5000 0.5000  4 P 3.05
P1 0.2500 0.2500 0.2500  4 Ba 3.05, 4 Zn 3.05
Zn1 0.0000 0.0000 0.0000  4 P 3.05

---

(4)
Computed, not measured: BaZnP at its PBEsol-relaxed geometry at the meta-GGA SCAN level of DFT.

Cell: 4.1042 4.1042 4.9284 Å, 90.00 90.00 120.00°
With the nearest neighbours (Å) after each atom.
Element x y z (fractional)
P1 0.3333 0.6667 0.0000  3 Zn 2.37
Zn1 0.6667 0.3333 0.0000  3 P 2.37
Ba1 0.0000 0.0000 0.5000  6 P 3.42, 6 Zn 3.42

---

(5)
Computed, not measured: Ba2ZnP at its PBEsol-relaxed geometry at the meta-GGA SCAN level of DFT.

Cell: 5.5138 5.5138 5.5138 Å, 60.00 60.00 60.00°
With the nearest neighbours (Å) after each atom.
Element x y z (fractional)
Ba1 0.7500 0.7500 0.7500  4 P 3.38, 4 Zn 3.38
Ba2 0.2500 0.2500 0.2500  4 Zn 3.38, 4 P 3.38
P1 0.5000 0.5000 0.5000  8 Ba 3.38
Zn1 0.0000 0.0000 0.0000  8 Ba 3.38

Output
offset from the most stable computed form: 0.117 eV per atom

---

(6)
Computed, not measured: BaZr2P at its PBEsol-relaxed geometry at the meta-GGA SCAN level of DFT.

Cell: 3.4563 5.6735 6.0840 Å, 117.79 106.50 90.00°
With the nearest neighbours (Å) after each atom.
Element x y z (fractional)
Ba1 0.5000 0.0000 0.0000  4 P 3.32, 8 Zr 3.39-3.68, 2 Ba 3.46
P1 0.0000 0.5000 0.0000  4 Zr 2.53
Zr1 0.6818 0.6818 0.3636  2 P 2.53
Zr2 0.3182 0.3182 0.6364  2 P 2.53

---

| no. | energy of formation (meV per atom) |
| --- | --- |
| 1 | 198 |
| 2 | -682 |
| 3 | -298 |
| 4 | -762 |
| 5 | -565 |
| 6 | -328 |